VASP calculation (PBE) on a geometry-optimized EuTlNi4 structure.

Cell lengths 5.075, 5.075, 5.075 Å; angles 60.00, 60.00, 60.00 degrees
Last column: magnetic moment on the atom in μB.
Fractional coordinates of all 6 atoms:
1 Eu 0.250 0.250 0.250  -6.67
2 Tl 0.000 0.000 0.000  -0.02
3 Ni 0.626 0.626 0.122  0.13
4 Ni 0.626 0.122 0.626  0.13
5 Ni 0.626 0.626 0.626  0.13
6 Ni 0.122 0.626 0.626  0.13

Output
V ... 15.403 Å³/atom
DFT formation energy ... -0.10 eV per atom
D(E_F) ... 14.6 states/eV per cell

---

VASP calculation (PBE) on a geometry-optimized EuTl2Ni structure.

Cell lengths 3.479, 3.479, 7.713 Å; angles 90.00, 90.00, 90.00 degrees
Last column: magnetic moment on the atom in μB.
Fractional coordinates of all 4 atoms:
1 Eu 0.500 0.500 0.500  6.90
2 Tl 0.000 0.000 0.803  -0.01
3 Ni 0.500 0.500 0.000  -0.04
4 Tl 0.000 0.000 0.197  -0.01

Output
V ... 23.334 Å³/atom
DFT formation energy ... -0.04 eV per atom
D(E_F) ... 2.6 states/eV per cell

---

VASP calculation (PBE) on a geometry-optimized EuTl3Ni structure.

Cell lengths 5.144, 5.144, 5.144 Å; angles 90.00, 90.00, 90.00 degrees
Last column: magnetic moment on the atom in μB.
Fractional coordinates of all 5 atoms:
1 Eu 0.500 0.500 0.500  6.94
2 Tl 0.000 0.000 0.500  0.01
3 Tl 0.500 0.000 0.000  0.01
4 Ni 0.000 0.000 0.000  0.06
5 Tl 0.000 0.500 0.000  0.01

Output
V ... 27.223 Å³/atom
DFT formation energy ... -0.07 eV per atom
D(E_F) ... 8.7 states/eV per cell

---

VASP calculation (PBE) on a geometry-optimized EuTlNi structure.

Cell lengths 4.064, 4.575, 4.575 Å; angles 120.00, 90.00, 90.00 degrees
Last column: magnetic moment on the atom in μB.
Fractional coordinates of all 3 atoms:
1 Tl 0.167 0.333 0.667  0.01
2 Ni 0.166 0.000 0.000  -0.10
3 Eu 0.667 0.667 0.333  6.79

Output
V ... 24.549 Å³/atom
DFT formation energy ... -0.14 eV per atom
D(E_F) ... 9.3 states/eV per cell